No. 1
Here is a geometry-optimized LiBeFeSb structure from OQMD. Energies are from PBE-GGA.

CIF file:
```
data_LiBeFeSb
_symmetry_space_group_name_H-M 'F -4 3 m'
_symmetry_Int_Tables_number 216
_symmetry_space_group_name_Hall 'F -4 2 3'
_cell_length_a 5.886
_cell_length_b 5.886
_cell_length_c 5.886
_cell_angle_alpha 90.00
_cell_angle_beta 90.00
_cell_angle_gamma 90.00
loop_
_atom_site_label
_atom_site_fract_x
_atom_site_fract_y
_atom_site_fract_z
Li1 0.000 0.000 0.000
Be1 0.250 0.250 0.250
Fe1 0.000 0.000 0.500
Sb1 0.250 0.250 0.750
```

## Properties
For the total energy, the calculation gives -71.03 eV for the cell shown.



No. 2
Here is a geometry-optimized Tb2Ga3Pd4 structure from OQMD. Energies are from PBE-GGA.

CIF file:
```
data_Tb2Ga3Pd4
_symmetry_space_group_name_H-M 'C m c e'
_symmetry_Int_Tables_number 64
_symmetry_space_group_name_Hall '-C 2ac 2'
_cell_length_a 5.611
_cell_length_b 15.271
_cell_length_c 7.705
_cell_angle_alpha 90.00
_cell_angle_beta 90.00
_cell_angle_gamma 90.00
loop_
_atom_site_label
_atom_site_fract_x
_atom_site_fract_y
_atom_site_fract_z
Tb1 0.000 0.110 0.083
Ga1 0.000 0.000 0.500
Ga2 0.250 0.231 0.750
Pd1 0.000 0.182 0.481
Pd2 0.250 0.060 0.750
```

## Properties
For the total energy, the calculation gives -186.93 eV for the cell shown.



No. 3
Here is a geometry-optimized YFeCoSi structure from OQMD. Energies are from PBE-GGA.

CIF file:
```
data_YFeCoSi
_symmetry_space_group_name_H-M 'F -4 3 m'
_symmetry_Int_Tables_number 216
_symmetry_space_group_name_Hall 'F -4 2 3'
_cell_length_a 6.289
_cell_length_b 6.289
_cell_length_c 6.289
_cell_angle_alpha 90.00
_cell_angle_beta 90.00
_cell_angle_gamma 90.00
loop_
_atom_site_label
_atom_site_fract_x
_atom_site_fract_y
_atom_site_fract_z
Y1 0.000 0.000 0.000
Fe1 0.250 0.250 0.750
Co1 0.000 0.000 0.500
Si1 0.250 0.250 0.250
```

## Properties
For the total energy, the calculation gives -108.49 eV for the cell shown.



No. 4
Here is a geometry-optimized Ta9W4 structure from OQMD. Energies are from PBE-GGA.

CIF file:
```
data_Ta9W4
_symmetry_space_group_name_H-M 'R -3 m'
_symmetry_Int_Tables_number 166
_symmetry_space_group_name_Hall '-R 3 2"'
_cell_length_a 5.3700
_cell_length_b 5.3700
_cell_length_c 28.3236
_cell_angle_alpha 90.00
_cell_angle_beta 90.00
_cell_angle_gamma 120.00
loop_
_atom_site_label
_atom_site_fract_x
_atom_site_fract_y
_atom_site_fract_z
Ta1 0.0000 0.0000 0.0000
Ta2 0.0000 0.0000 0.3519
Ta3 0.0031 0.5016 0.4127
W1 0.0000 0.0000 0.1677
W2 0.0000 0.0000 0.4557
```

## Properties
As for the energy of formation: 0.2453 eV/atom. For the total energy, the calculation gives -465.97 eV for the cell shown.



No. 5
Here is a geometry-optimized Ba2Cd3B3 structure from OQMD. Energies are from PBE-GGA.

CIF file:
```
data_Ba2Cd3B3
_symmetry_space_group_name_H-M 'P -4 m 2'
_symmetry_Int_Tables_number 115
_cell_length_a 3.282
_cell_length_b 3.282
_cell_length_c 16.921
_cell_angle_alpha 90.00
_cell_angle_beta 90.00
_cell_angle_gamma 90.00
loop_
_symmetry_equiv_pos_as_xyz
'x,y,z'
'y,-x,-z'
'-x,-y,z'
'-y,x,-z'
'-x,y,z'
'-y,-x,-z'
'x,-y,z'
'y,x,-z'
loop_
_atom_site_label
_atom_site_fract_x
_atom_site_fract_y
_atom_site_fract_z
Ba1 0.000 0.500 0.148
Cd1 0.000 0.000 0.329
Cd2 0.000 0.000 0.500
B1 0.000 0.000 0.000
B2 0.500 0.500 0.000
B3 0.500 0.500 0.500
```

## Properties
For the total energy, the calculation gives -18.22 eV for the cell shown.



No. 6
Here is a geometry-optimized HfUNb structure from OQMD. Energies are from PBE-GGA.

CIF file:
```
data_HfUNb
_symmetry_space_group_name_H-M 'F -4 3 m'
_symmetry_Int_Tables_number 216
_symmetry_space_group_name_Hall 'F -4 2 3'
_cell_length_a 6.626
_cell_length_b 6.626
_cell_length_c 6.626
_cell_angle_alpha 90.00
_cell_angle_beta 90.00
_cell_angle_gamma 90.00
loop_
_atom_site_label
_atom_site_fract_x
_atom_site_fract_y
_atom_site_fract_z
Hf1 0.000 0.000 0.000
U1 0.000 0.000 0.500
Nb1 0.250 0.250 0.250
```

## Properties
As for the energy of formation: 0.7740 eV/atom. For the total energy, the calculation gives -116.10 eV for the cell shown.



No. 7
Here is a geometry-optimized NaZrPdSe3 structure from OQMD. Energies are from PBE-GGA.

CIF file:
```
data_NaZrPdSe3
_symmetry_space_group_name_H-M 'C m c m'
_symmetry_Int_Tables_number 63
_symmetry_space_group_name_Hall '-C 2c 2'
_cell_length_a 3.777
_cell_length_b 14.211
_cell_length_c 10.089
_cell_angle_alpha 90.00
_cell_angle_beta 90.00
_cell_angle_gamma 90.00
loop_
_atom_site_label
_atom_site_fract_x
_atom_site_fract_y
_atom_site_fract_z
Na1 0.000 0.232 0.250
Zr1 0.000 0.000 0.000
Pd1 0.000 0.473 0.750
Se1 0.000 0.089 0.750
Se2 0.000 0.365 0.551
```

## Properties
For the total energy, the calculation gives -126.22 eV for the cell shown.



No. 8
Here is a geometry-optimized KTmAgSe3 structure from OQMD. Energies are from PBE-GGA.

CIF file:
```
data_KTmAgSe3
_symmetry_space_group_name_H-M 'C m c m'
_symmetry_Int_Tables_number 63
_symmetry_space_group_name_Hall '-C 2c 2'
_cell_length_a 4.076
_cell_length_b 15.196
_cell_length_c 10.677
_cell_angle_alpha 90.00
_cell_angle_beta 90.00
_cell_angle_gamma 90.00
loop_
_atom_site_label
_atom_site_fract_x
_atom_site_fract_y
_atom_site_fract_z
K1 0.000 0.246 0.250
Tm1 0.000 0.000 0.000
Ag1 0.000 0.465 0.750
Se1 0.000 0.076 0.750
Se2 0.000 0.372 0.546
```

## Properties
For the total energy, the calculation gives -102.03 eV for the cell shown.



No. 9
Here is a geometry-optimized ErScH2Cl4 structure from OQMD. Energies are from PBE-GGA.

CIF file:
```
data_ErScH2Cl4
_symmetry_space_group_name_H-M 'P -6 m 2'
_symmetry_Int_Tables_number 187
_symmetry_space_group_name_Hall 'P -6 2'
_cell_length_a 3.5909
_cell_length_b 3.5909
_cell_length_c 13.3426
_cell_angle_alpha 90.00
_cell_angle_beta 90.00
_cell_angle_gamma 120.00
loop_
_atom_site_label
_atom_site_fract_x
_atom_site_fract_y
_atom_site_fract_z
Er1 0.0000 0.0000 0.0000
Sc1 0.0000 0.0000 0.5000
H1 0.3333 0.6667 0.5000
H2 0.6667 0.3333 0.0000
Cl1 0.3333 0.6667 0.1327
Cl2 0.6667 0.3333 0.3751
```

## Properties
For the total energy, the calculation gives -38.27 eV for the cell shown.



No. 10
Here is a geometry-optimized Cu2CSe3 structure from OQMD. Energies are from PBE-GGA.

CIF file:
```
data_Cu2CSe3
_symmetry_space_group_name_H-M 'I m m 2'
_symmetry_Int_Tables_number 44
_cell_length_a 3.765
_cell_length_b 10.984
_cell_length_c 5.343
_cell_angle_alpha 90.00
_cell_angle_beta 90.00
_cell_angle_gamma 90.00
loop_
_symmetry_equiv_pos_as_xyz
'x,y,z'
'-x,-y,z'
'-x,y,z'
'x,-y,z'
'x+1/2,y+1/2,z+1/2'
'-x+1/2,-y+1/2,z+1/2'
'-x+1/2,y+1/2,z+1/2'
'x+1/2,-y+1/2,z+1/2'
loop_
_atom_site_label
_atom_site_fract_x
_atom_site_fract_y
_atom_site_fract_z
Cu1 0.000 0.159 0.000
C1 0.000 0.500 0.978
Se1 0.000 0.000 0.691
Se2 0.000 0.349 0.773
```

## Properties
For the total energy, the calculation gives -50.33 eV for the cell shown.



No. 11
Here is a geometry-optimized LaNdSi4Pd2 structure from OQMD. Energies are from PBE-GGA.

CIF file:
```
data_LaNdSi4Pd2
_symmetry_space_group_name_H-M 'A m m 2'
_symmetry_Int_Tables_number 38
_cell_length_a 4.241
_cell_length_b 4.308
_cell_length_c 16.959
_cell_angle_alpha 90.00
_cell_angle_beta 90.00
_cell_angle_gamma 90.00
loop_
_symmetry_equiv_pos_as_xyz
'x,y,z'
'-x,-y,z'
'-x,y,z'
'x,-y,z'
'x,y+1/2,z+1/2'
'-x,-y+1/2,z+1/2'
'-x,y+1/2,z+1/2'
'x,-y+1/2,z+1/2'
loop_
_atom_site_label
_atom_site_fract_x
_atom_site_fract_y
_atom_site_fract_z
La1 0.000 0.000 0.000
Nd1 0.500 0.000 0.791
Si1 0.000 0.000 0.360
Si2 0.000 0.000 0.647
Si3 0.500 0.000 0.146
Si4 0.500 0.000 0.430
Pd1 0.000 0.000 0.217
Pd2 0.500 0.000 0.575
```

## Properties
For the total energy, the calculation gives -97.15 eV for the cell shown.



No. 12
Here is a geometry-optimized AlInCu2Te4 structure from OQMD. Energies are from PBE-GGA.

CIF file:
```
data_AlInCu2Te4
_symmetry_space_group_name_H-M 'I -4'
_symmetry_Int_Tables_number 82
_cell_length_a 6.173
_cell_length_b 6.173
_cell_length_c 12.272
_cell_angle_alpha 90.00
_cell_angle_beta 90.00
_cell_angle_gamma 90.00
loop_
_symmetry_equiv_pos_as_xyz
'x,y,z'
'y,-x,-z'
'-x,-y,z'
'-y,x,-z'
'x+1/2,y+1/2,z+1/2'
'y+1/2,-x+1/2,-z+1/2'
'-x+1/2,-y+1/2,z+1/2'
'-y+1/2,x+1/2,-z+1/2'
loop_
_atom_site_label
_atom_site_fract_x
_atom_site_fract_y
_atom_site_fract_z
Al1 0.000 0.000 0.000
In1 0.000 0.500 0.250
Cu1 0.000 0.000 0.500
Cu2 0.000 0.500 0.750
Te1 0.229 0.264 0.619
```

## Properties
For the total energy, the calculation gives -57.88 eV for the cell shown.